Material: YTaOs
Method: DFT, PBE-GGA
State: optimized geometry

Offset from the most stable computed form   0.3645 eV per atom
Symmetry   P3m1, No. 156
E_form   0.126 eV/atom

Geometry as POSCAR:
```
YTaOs
1.0
4.5898 0.0000 0.0000
-2.2949 3.9749 0.0000
0.0000 0.0000 3.1991
Y Ta Os
1 1 1
Direct
0.0000 0.0000 0.0000
0.6667 0.3333 0.5966
0.3333 0.6667 0.3639
```

Material: ErThPd2
Method: DFT, PBE-GGA
State: optimized geometry

Offset from the most stable computed form   0.1141 eV per atom
Symmetry   R-3m, No. 166
E_form   -0.745 eV/atom

Geometry as POSCAR:
```
ErThPd2
1.0
2.0706 1.1955 6.7031
-2.0706 1.1955 6.7031
0.0000 -2.3910 6.7031
Er Th Pd
1 1 2
Direct
0.0000 0.0000 0.0000
0.5000 0.5000 0.5000
0.2520 0.2520 0.2520
0.7480 0.7480 0.7480
```

Material: YGa5Pd2
Method: DFT, PBE-GGA
State: optimized geometry

Symmetry   Immm, No. 71
E_form   -0.540 eV/atom

Geometry as POSCAR:
```
YGa5Pd2
1.0
-1.9856 3.6761 4.9684
1.9856 -3.6761 4.9684
1.9856 3.6761 -4.9684
Y Ga Pd
1 5 2
Direct
0.0000 0.0000 0.0000
0.1673 0.3592 0.8081
0.4488 0.6408 0.8081
0.5000 0.0000 0.5000
0.5512 0.3592 0.1919
0.8327 0.6408 0.1919
0.2483 0.7483 0.5000
0.7517 0.2517 0.5000
```

Material: Zn2CuP
Method: DFT, PBE-GGA
State: optimized geometry

Symmetry   P4/mmm, No. 123
E_form   0.079 eV/atom

Geometry as POSCAR:
```
Zn2CuP
1.0
3.4516 0.0000 0.0000
0.0000 3.4516 0.0000
0.0000 0.0000 4.8532
Zn Cu P
2 1 1
Direct
0.0000 0.0000 0.2502
0.0000 0.0000 0.7498
0.5000 0.5000 0.0000
0.5000 0.5000 0.5000
```

Material: AlGa2WCl
Method: DFT, PBE-GGA
State: optimized geometry

Symmetry   P4/mmm, No. 123
Formation energy from raw total energies   1272 meV/atom

Geometry as POSCAR:
```
AlGa2WCl
1.0
4.7200 0.0000 0.0000
0.0000 4.7200 0.0000
0.0000 0.0000 4.4631
Al Ga W Cl
1 2 1 1
Direct
0.0000 0.0000 0.0000
0.0000 0.5000 0.5000
0.5000 0.0000 0.5000
0.5000 0.5000 0.0000
0.0000 0.0000 0.5000
```

Material: SrScIn2
Method: DFT, PBE-GGA
State: optimized geometry

Symmetry   C2/m, No. 12
E_form   -0.280 eV/atom

Geometry as POSCAR:
```
SrScIn2
1.0
3.5121 -4.5348 0.0000
3.5121 4.5348 0.0000
-0.0126 0.0000 3.4164
Sr Sc In
1 1 2
Direct
0.0000 0.0000 0.0000
0.5000 0.5000 0.0000
0.0000 0.5000 0.5000
0.5000 0.0000 0.5000
```

Material: K2BrO2
Method: DFT, PBE-GGA
State: optimized geometry

Offset from the most stable computed form   0.0000 eV per atom
Symmetry   C2/m, No. 12
Formation energy from raw total energies   -1145 meV/atom

Geometry as POSCAR:
```
K2BrO2
1.0
4.8489 -2.7541 0.0000
4.8489 2.7541 0.0000
-2.8080 0.0000 4.4131
K Br O
2 1 2
Direct
0.2405 0.2405 0.2408
0.7595 0.7595 0.7592
0.5000 0.5000 0.0000
0.0830 0.0830 0.5831
0.9170 0.9170 0.4169
```

Material: Ac6SmSn6
Method: DFT, PBE-GGA
State: optimized geometry

Symmetry   P6/mmm, No. 191
E_form   -0.328 eV/atom

Geometry as POSCAR:
```
Ac6SmSn6
1.0
8.1081 0.0000 0.0000
-4.0540 7.0218 0.0000
0.0000 0.0000 9.3818
Ac Sm Sn
6 1 6
Direct
0.0000 0.5000 0.2455
0.0000 0.5000 0.7545
0.5000 0.0000 0.2455
0.5000 0.0000 0.7545
0.5000 0.5000 0.2455
0.5000 0.5000 0.7545
0.0000 0.0000 0.5000
0.0000 0.0000 0.1628
0.0000 0.0000 0.8372
0.3333 0.6667 0.0000
0.3333 0.6667 0.5000
0.6667 0.3333 0.0000
0.6667 0.3333 0.5000
```

Material: FeGe2Bi2
Method: DFT, PBE-GGA
State: optimized geometry

Symmetry   I4/mmm, No. 139
E_form   0.886 eV/atom

Geometry as POSCAR:
```
FeGe2Bi2
1.0
-2.2151 2.2151 7.1199
2.2151 -2.2151 7.1199
2.2151 2.2151 -7.1199
Fe Ge Bi
1 2 2
Direct
0.0000 0.0000 0.0000
0.4128 0.4128 0.0000
0.5872 0.5872 0.0000
0.2500 0.7500 0.5000
0.7500 0.2500 0.5000
```

Material: Ca6In5Hg
Method: DFT, PBE-GGA
State: optimized geometry

Symmetry   Cmmm, No. 65
E_form   -0.484 eV/atom

Geometry as POSCAR:
```
Ca6In5Hg
1.0
2.7141 -8.1654 0.0000
2.7141 8.1654 0.0000
0.0000 0.0000 7.7134
Ca In Hg
6 5 1
Direct
0.0000 0.0000 0.2465
0.0000 0.0000 0.7535
0.3354 0.6646 0.2500
0.3354 0.6646 0.7500
0.6646 0.3354 0.2500
0.6646 0.3354 0.7500
0.1679 0.8321 0.5000
0.1700 0.8300 0.0000
0.5000 0.5000 0.5000
0.8300 0.1700 0.0000
0.8321 0.1679 0.5000
0.5000 0.5000 0.0000
```

Material: Ac12Te3N5
Method: DFT, PBE-GGA
State: optimized geometry

Symmetry   Ia-3d, No. 230
Formation energy from raw total energies   -874 meV/atom

Geometry as POSCAR:
```
Ac12Te3N5
1.0
-8.6505 8.6505 8.6505
8.6505 -8.6505 8.6505
8.6505 8.6505 -8.6505
Ac Te N
48 12 20
Direct
0.0100 0.1976 0.1095
0.0100 0.3123 0.9004
0.0881 0.6976 0.6877
0.0881 0.8905 0.4004
0.0996 0.6095 0.4119
0.0996 0.9900 0.6877
0.1095 0.0100 0.1976
0.1095 0.5996 0.9119
0.1877 0.1976 0.5881
0.1877 0.4900 0.5996
0.1976 0.1095 0.0100
0.1976 0.5881 0.1877
0.3024 0.3123 0.9119
0.3024 0.4900 0.3905
0.3123 0.9004 0.0100
0.3123 0.9119 0.3024
0.3905 0.3024 0.4900
0.3905 0.5881 0.9004
0.4004 0.0881 0.8905
0.4004 0.8123 0.5100
0.4119 0.0996 0.6095
0.4119 0.8123 0.8024
0.4900 0.3905 0.3024
0.4900 0.5996 0.1877
0.5100 0.4004 0.8123
0.5100 0.6095 0.6976
0.5881 0.1877 0.1976
0.5881 0.9004 0.3905
0.5996 0.1877 0.4900
0.5996 0.9119 0.1095
0.6095 0.4119 0.0996
0.6095 0.6976 0.5100
0.6877 0.0881 0.6976
0.6877 0.0996 0.9900
0.6976 0.5100 0.6095
0.6976 0.6877 0.0881
0.8024 0.4119 0.8123
0.8024 0.8905 0.9900
0.8123 0.5100 0.4004
0.8123 0.8024 0.4119
0.8905 0.4004 0.0881
0.8905 0.9900 0.8024
0.9004 0.0100 0.3123
0.9004 0.3905 0.5881
0.9119 0.1095 0.5996
0.9119 0.3024 0.3123
0.9900 0.6877 0.0996
0.9900 0.8024 0.8905
0.1250 0.2500 0.3750
0.1250 0.3750 0.7500
0.2500 0.3750 0.1250
0.2500 0.8750 0.6250
0.3750 0.1250 0.2500
0.3750 0.7500 0.1250
0.6250 0.2500 0.8750
0.6250 0.8750 0.7500
0.7500 0.1250 0.3750
0.7500 0.6250 0.8750
0.8750 0.6250 0.2500
0.8750 0.7500 0.6250
0.0000 0.0000 0.0000
0.0000 0.0000 0.5000
0.0000 0.5000 0.0000
0.0000 0.5000 0.5000
0.1250 0.7500 0.8750
0.1250 0.8750 0.2500
0.2500 0.1250 0.8750
0.2500 0.6250 0.3750
0.3750 0.2500 0.6250
0.3750 0.6250 0.7500
0.5000 0.0000 0.0000
0.5000 0.0000 0.5000
0.5000 0.5000 0.0000
0.5000 0.5000 0.5000
0.6250 0.3750 0.2500
0.6250 0.7500 0.3750
0.7500 0.3750 0.6250
0.7500 0.8750 0.1250
0.8750 0.1250 0.7500
0.8750 0.2500 0.1250
```

Material: Sr2LiCd2
Method: DFT, PBE-GGA
State: optimized geometry

Offset from the most stable computed form   0.1833 eV per atom
Symmetry   P4/mbm, No. 127
E_form   -0.074 eV/atom

Geometry as POSCAR:
```
Sr2LiCd2
1.0
9.4768 0.0000 0.0000
0.0000 9.4768 0.0000
0.0000 0.0000 3.9096
Sr Li Cd
4 2 4
Direct
0.1546 0.3454 0.0000
0.3454 0.8454 0.0000
0.6546 0.1546 0.0000
0.8454 0.6546 0.0000
0.0000 0.0000 0.0000
0.5000 0.5000 0.0000
0.1386 0.6386 0.5000
0.3614 0.1386 0.5000
0.6386 0.8614 0.5000
0.8614 0.3614 0.5000
```